# 1
Computed, not measured: YThMnCd after structural relaxation at the GGA-PBE level of DFT.

Unit cell a=5.2344 b=5.2344 c=5.2344 alpha=60.00 beta=60.00 gamma=60.00
Last column: nearest neighbours and their distance in Å.
Element x y z (fractional)
Th  0.2500  0.2500  0.2500  4 Mn 3.21, 4 Cd 3.21
Mn  0.0000  0.0000  0.0000  4 Th 3.21, 4 Y 3.21
Y  0.7500  0.7500  0.7500  4 Cd 3.21, 4 Mn 3.21
Cd  0.5000  0.5000  0.5000  4 Y 3.21, 4 Th 3.21

## Properties
Its symmetry is F-43m, No. 216. Its crystal system is cubic. The energy comes out at -0.4357 Ry/atom. The calculation puts the volume at 101.4 Å³/cell. The energy of formation is 0.06 eV per atom.

***

# 2
Computed, not measured: Ti2MnCd after structural relaxation at the GGA-PBE level of DFT.

Unit cell a=3.0332 b=3.0332 c=6.9798 alpha=90.00 beta=90.00 gamma=90.00
Last column: nearest neighbours and their distance in Å.
Element x y z (fractional)
Cd  0.5000  0.5000  0.5000  8 Ti 2.99, 4 Cd 3.03
Ti  0.0000  0.0000  0.7982  4 Mn 2.57, 1 Ti 2.82
Ti  0.0000  0.0000  0.2018  4 Mn 2.57, 1 Ti 2.82
Mn  0.5000  0.5000  0.0000  8 Ti 2.57

## Properties
Its symmetry is P4/mmm, No. 123. Its crystal system is tetragonal. The energy comes out at -0.4863 Ry/atom. The calculation puts the volume at 64.2 Å³/cell. The energy of formation is -0.15 eV per atom.

***

# 3
Computed, not measured: TiMn3Cd after structural relaxation at the GGA-PBE level of DFT.

Unit cell a=4.5391 b=4.5391 c=4.5391 alpha=90.00 beta=90.00 gamma=90.00
Last column: nearest neighbours and their distance in Å.
Element x y z (fractional)
Ti  0.0000  0.0000  0.0000  6 Mn 2.27
Mn  0.0000  0.0000  0.5000  2 Ti 2.27
Mn  0.5000  0.0000  0.0000  2 Ti 2.27
Mn  0.0000  0.5000  0.0000  2 Ti 2.27
Cd  0.5000  0.5000  0.5000  12 Mn 3.21

## Properties
Its symmetry is Pm-3m, No. 221. Its crystal system is cubic. The energy comes out at -0.4635 Ry/atom. The calculation puts the volume at 93.5 Å³/cell. The energy of formation is 0.96 eV per atom.

***

Repeat the second record exactly.
Computed, not measured: Ti2MnCd after structural relaxation at the GGA-PBE level of DFT.

Unit cell a=3.0332 b=3.0332 c=6.9798 alpha=90.00 beta=90.00 gamma=90.00
Last column: nearest neighbours and their distance in Å.
Element x y z (fractional)
Cd  0.5000  0.5000  0.5000  8 Ti 2.99, 4 Cd 3.03
Ti  0.0000  0.0000  0.7982  4 Mn 2.57, 1 Ti 2.82
Ti  0.0000  0.0000  0.2018  4 Mn 2.57, 1 Ti 2.82
Mn  0.5000  0.5000  0.0000  8 Ti 2.57

## Properties
Its symmetry is P4/mmm, No. 123. Its crystal system is tetragonal. The energy comes out at -0.4863 Ry/atom. The calculation puts the volume at 64.2 Å³/cell. The energy of formation is -0.15 eV per atom.